{"formula": "SrCaBiBr", "functional": "PBE", "state": "relaxed", "final_energy_ev_per_fu": -14.14, "formation_energy_uncorrected_ev_per_atom": -1.22, "spacegroup": "No. 8", "lattice": [[4.6771, -0.0004, 0.0014], [-2.3378, 4.0467, -0.0018], [-2.3349, -1.3506, 7.8999]], "species": ["Ca", "Sr", "Br", "Bi"], "frac_coords": [[0.1143, 0.9549, 0.0855], [0.4904, 0.1428, 0.6486], [0.9593, 0.3785, 0.3514], [0.3138, 0.5546, 0.8842]]}

=====

{"formula": "CaTlBiBr6", "functional": "PBE", "state": "relaxed", "final_energy_ev_per_fu": -29.23, "formation_energy_uncorrected_ev_per_atom": -1.22, "spacegroup": "No. 163", "lattice": [[-0.8191, 7.2701, 1.7164], [-1.3205, -2.3788, -7.0049], [-13.9103, -2.3770, 3.4295]], "species": ["Br", "Br", "Ca", "Br", "Br", "Br", "Br", "Tl", "Br", "Br", "Br", "Bi", "Br", "Br", "Br", "Ca", "Bi", "Tl"], "frac_coords": [[0.3678, 0.3649, 0.3643], [0.6322, 0.9971, 0.8643], [0.6667, 0.3333, 0.7500], [0.6351, 0.6322, 0.1357], [0.0029, 0.3678, 0.6357], [0.3678, 0.0029, 0.1357], [0.6322, 0.6351, 0.6357], [0.0000, 0.0000, 0.5000], [0.0029, 0.6351, 0.8643], [0.3649, 0.3678, 0.8643], [0.3649, 0.9971, 0.6357], [0.3333, 0.6667, 0.7500], [0.9971, 0.3649, 0.1357], [0.6351, 0.0029, 0.3643], [0.9971, 0.6322, 0.3643], [0.3333, 0.6667, 0.2500], [0.6667, 0.3333, 0.2500], [0.0000, 0.0000, 0.0000]]}

=====

{"formula": "Ca2VBiBr", "functional": "PBE", "state": "relaxed", "final_energy_ev_per_fu": -16.25, "formation_energy_uncorrected_ev_per_atom": 0.49, "spacegroup": "No. 123", "lattice": [[-0.8588, 4.3224, 4.1977], [3.9011, -2.6087, 3.4844], [4.4501, 3.3135, -2.5015]], "species": ["Ca", "Br", "Bi", "Ca", "V"], "frac_coords": [[0.5000, 0.0000, 0.0000], [0.0000, 0.5000, 0.0000], [0.0000, 0.0000, 0.0000], [0.0000, 0.0000, 0.5000], [0.5000, 0.5000, 0.5000]]}

=====

{"formula": "CdBiBr", "functional": "PBE", "state": "relaxed", "final_energy_ev_per_fu": -7.63, "formation_energy_uncorrected_ev_per_atom": -0.39, "spacegroup": "No. 1", "lattice": [[0.2979, 0.4483, -4.3014], [-2.4501, -7.7555, -0.9772], [-5.0817, 4.4090, 2.2961]], "species": ["Cd", "Br", "Bi", "Br", "Bi", "Cd"], "frac_coords": [[0.8753, 0.1963, 0.6885], [0.4257, 0.4658, 0.7877], [0.9954, 0.9782, 0.9271], [0.2186, 0.7623, 0.3714], [0.6546, 0.1928, 0.2446], [0.6469, 0.5348, 0.2278]]}

=====

{"formula": "CdBi2Br8", "functional": "PBE", "state": "relaxed", "final_energy_ev_per_fu": -30.01, "formation_energy_uncorrected_ev_per_atom": -0.72, "spacegroup": "No. 12", "lattice": [[-0.9925, 3.7643, 0.5635], [-9.6163, -2.0393, -3.3153], [-2.3577, -4.0274, 9.0231]], "species": ["Br", "Br", "Bi", "Cd", "Br", "Bi", "Br", "Br", "Br", "Br", "Br"], "frac_coords": [[0.4033, 0.4335, 0.8067], [0.2375, 0.3003, 0.4750], [0.8456, 0.2605, 0.6913], [0.5000, 0.0000, 0.0000], [0.3570, 0.0381, 0.7141], [0.1544, 0.7395, 0.3087], [0.6430, 0.9619, 0.2859], [0.9968, 0.8114, 0.9937], [0.5967, 0.5665, 0.1933], [0.7625, 0.6997, 0.5250], [0.0032, 0.1886, 0.0063]]}

=====

{"formula": "Cd12Bi3Br5", "functional": "PBE", "state": "relaxed", "final_energy_ev_per_fu": -32.76, "formation_energy_uncorrected_ev_per_atom": -0.09, "spacegroup": "No. 230", "lattice": [[15.4754, 0.0000, 0.0000], [-5.1585, 14.5903, 0.0000], [-5.1585, -7.2952, 12.6356]], "species": ["Cd", "Cd", "Cd", "Cd", "Cd", "Br", "Br", "Cd", "Br", "Br", "Cd", "Cd", "Cd", "Br", "Br", "Br", "Br", "Cd", "Br", "Bi", "Cd", "Cd", "Cd", "Cd", "Cd", "Cd", "Br", "Cd", "Cd", "Cd", "Br", "Bi", "Br", "Cd", "Cd", "Br", "Cd", "Bi", "Cd", "Bi", "Cd", "Cd", "Br", "Cd", "Bi", "Bi", "Cd", "Cd", "Br", "Cd", "Br", "Cd", "Cd", "Cd", "Cd", "Cd", "Br", "Cd", "Br", "Cd", "Cd", "Cd", "Cd", "Bi", "Br", "Cd", "Bi", "Cd", "Cd", "Bi", "Cd", "Bi", "Cd", "Cd", "Cd", "Br", "Bi", "Cd", "Cd", "Bi"], "frac_coords": [[0.9193, 0.0806, 0.8494], [0.3494, 0.4193, 0.0806], [0.7312, 0.5806, 0.1613], [0.4301, 0.6613, 0.0807], [0.5807, 0.9301, 0.6613], [0.5000, 0.0000, 0.5000], [0.0000, 0.5000, 0.0000], [0.5806, 0.8494, 0.4193], [0.0000, 0.5000, 0.5000], [0.6250, 0.8750, 0.2500], [0.0807, 0.9194, 0.1506], [0.1506, 0.4194, 0.0807], [0.0807, 0.1613, 0.4301], [0.7500, 0.1250, 0.8750], [0.5000, 0.0000, 0.0000], [0.6250, 0.7500, 0.8750], [0.1250, 0.3750, 0.2500], [0.2312, 0.5699, 0.6506], [0.0000, 0.0000, 0.5000], [0.8750, 0.7500, 0.1250], [0.2688, 0.4194, 0.8387], [0.8494, 0.5806, 0.9193], [0.0699, 0.4193, 0.8387], [0.2312, 0.6613, 0.0806], [0.6506, 0.5807, 0.9194], [0.6613, 0.2312, 0.5806], [0.3750, 0.1250, 0.7500], [0.3387, 0.5699, 0.4193], [0.7312, 0.1506, 0.0699], [0.1613, 0.0806, 0.7312], [0.1250, 0.7500, 0.3750], [0.7500, 0.8750, 0.6250], [0.2500, 0.3750, 0.6250], [0.7688, 0.4301, 0.3494], [0.1613, 0.0807, 0.9301], [0.5000, 0.5000, 0.5000], [0.1506, 0.7312, 0.5699], [0.1250, 0.8750, 0.7500], [0.9301, 0.5807, 0.1613], [0.2500, 0.1250, 0.3750], [0.7688, 0.3387, 0.9194], [0.8494, 0.2688, 0.4301], [0.8750, 0.2500, 0.6250], [0.0806, 0.1613, 0.2312], [0.3750, 0.6250, 0.2500], [0.2500, 0.6250, 0.8750], [0.8387, 0.9194, 0.2688], [0.6613, 0.4301, 0.5807], [0.2500, 0.8750, 0.1250], [0.6506, 0.0699, 0.2312], [0.5000, 0.5000, 0.0000], [0.0699, 0.6506, 0.7312], [0.8387, 0.9193, 0.0699], [0.9194, 0.8387, 0.7688], [0.5699, 0.3387, 0.9193], [0.9301, 0.3494, 0.2688], [0.8750, 0.6250, 0.7500], [0.4193, 0.0699, 0.3387], [0.3750, 0.2500, 0.1250], [0.4194, 0.2688, 0.3387], [0.3494, 0.9301, 0.7688], [0.5807, 0.6506, 0.4194], [0.2688, 0.8494, 0.9301], [0.7500, 0.3750, 0.1250], [0.7500, 0.6250, 0.3750], [0.5806, 0.7312, 0.6613], [0.3750, 0.7500, 0.6250], [0.9193, 0.8387, 0.5699], [0.5699, 0.2312, 0.1506], [0.6250, 0.2500, 0.3750], [0.3387, 0.7688, 0.4194], [0.1250, 0.2500, 0.8750], [0.4301, 0.7688, 0.8494], [0.9194, 0.0807, 0.6506], [0.4194, 0.1506, 0.5807], [0.0000, 0.0000, 0.0000], [0.6250, 0.3750, 0.7500], [0.4193, 0.3494, 0.5806], [0.0806, 0.9193, 0.3494], [0.8750, 0.1250, 0.2500]]}

=====

{"formula": "CdBi2Br", "functional": "PBE", "state": "relaxed", "final_energy_ev_per_fu": -10.63, "formation_energy_uncorrected_ev_per_atom": -0.07, "spacegroup": "No. 122", "lattice": [[-4.6384, -0.4840, 0.0868], [0.4601, -4.5628, -0.8521], [-1.6481, -4.6576, 11.2832]], "species": ["Bi", "Bi", "Cd", "Br", "Br", "Bi", "Bi", "Cd"], "frac_coords": [[0.8750, 0.9163, 0.7500], [0.3750, 0.3337, 0.7500], [0.7500, 0.2500, 0.5000], [0.2500, 0.7500, 0.5000], [0.5000, 0.5000, 0.0000], [0.0837, 0.6250, 0.2500], [0.6663, 0.1250, 0.2500], [0.0000, 0.0000, 0.0000]]}

=====

{"formula": "CdBi2Br2", "functional": "PBE", "state": "relaxed", "final_energy_ev_per_fu": -13.25, "formation_energy_uncorrected_ev_per_atom": -0.25, "spacegroup": "No. 127", "lattice": [[-5.8069, 1.3336, 5.1795], [-5.0250, -3.9786, -4.6093], [1.3315, -4.8610, 2.7443]], "species": ["Br", "Bi", "Br", "Bi", "Br", "Bi", "Br", "Cd", "Cd", "Bi"], "frac_coords": [[0.6854, 0.1854, 0.5000], [0.3603, 0.8603, 0.0000], [0.1854, 0.3146, 0.5000], [0.1397, 0.3603, 0.0000], [0.3146, 0.8146, 0.5000], [0.6397, 0.1397, 0.0000], [0.8146, 0.6854, 0.5000], [0.0000, 0.0000, 0.0000], [0.5000, 0.5000, 0.0000], [0.8603, 0.6397, 0.0000]]}

=====

{"formula": "CdBi2Br8", "functional": "PBE", "state": "relaxed", "final_energy_ev_per_fu": -29.26, "formation_energy_uncorrected_ev_per_atom": -0.65, "spacegroup": "No. 12", "lattice": [[7.4555, 0.7342, 0.6102], [1.0143, 8.2426, -0.2764], [1.0143, 1.2352, 8.1542]], "species": ["Br", "Br", "Bi", "Br", "Cd", "Br", "Br", "Br", "Br", "Bi", "Br"], "frac_coords": [[0.2297, 0.8919, 0.2496], [0.2083, 0.3701, 0.3701], [0.5911, 0.8383, 0.8383], [0.7703, 0.1081, 0.7504], [0.0000, 0.0000, 0.0000], [0.7637, 0.2117, 0.2117], [0.7703, 0.7504, 0.1081], [0.2297, 0.2496, 0.8919], [0.2363, 0.7883, 0.7883], [0.4089, 0.1617, 0.1617], [0.7917, 0.6299, 0.6299]]}

=====

{"formula": "CdBi2Br", "functional": "PBE", "state": "relaxed", "final_energy_ev_per_fu": -10.15, "formation_energy_uncorrected_ev_per_atom": 0.05, "spacegroup": "No. 225", "lattice": [[1.2762, -3.7642, -3.6878], [-0.1823, -5.2565, 1.3165], [-3.8679, -3.1821, -2.0763]], "species": ["Br", "Bi", "Cd", "Bi"], "frac_coords": [[0.0000, 0.0000, 0.0000], [0.2500, 0.2500, 0.2500], [0.5000, 0.5000, 0.5000], [0.7500, 0.7500, 0.7500]]}

=====

{"formula": "CrCdBi2Br", "functional": "PBE", "state": "relaxed", "final_energy_ev_per_fu": -15.10, "formation_energy_uncorrected_ev_per_atom": 0.97, "spacegroup": "No. 123", "lattice": [[5.7176, 0.0000, 0.0000], [0.0000, 5.3627, 0.0000], [0.0000, 0.0000, 5.7176]], "species": ["Bi", "Br", "Cd", "Bi", "Cr"], "frac_coords": [[0.0000, 0.0000, 0.5000], [0.0000, 0.0000, 0.0000], [0.0000, 0.5000, 0.0000], [0.5000, 0.0000, 0.0000], [0.5000, 0.5000, 0.5000]]}

=====

{"formula": "Cs2CdBiBr6", "functional": "PBE", "state": "relaxed", "final_energy_ev_per_fu": -28.01, "formation_energy_uncorrected_ev_per_atom": -1.15, "spacegroup": "No. 139", "lattice": [[-0.0571, -2.5810, 7.8246], [-7.3214, -3.5732, -1.2321], [-1.0303, -7.9748, 1.7001]], "species": ["Bi", "Br", "Cs", "Br", "Br", "Br", "Cs", "Br", "Br", "Cd"], "frac_coords": [[0.0000, 0.0000, 0.0000], [0.2524, 0.2524, 0.4951], [0.7500, 0.2500, 0.5000], [0.7496, 0.7496, 0.0000], [0.2504, 0.7496, 0.0000], [0.7476, 0.7476, 0.5049], [0.2500, 0.7500, 0.5000], [0.2504, 0.2504, 0.0000], [0.7496, 0.2504, 0.0000], [0.5000, 0.5000, 0.0000]]}

=====

{"formula": "CsCd2BiBr8", "functional": "PBE", "state": "relaxed", "final_energy_ev_per_fu": -31.45, "formation_energy_uncorrected_ev_per_atom": -0.96, "spacegroup": "No. 2", "lattice": [[6.9192, 1.2279, 0.3749], [1.3091, 6.9597, 0.3253], [0.5510, 0.4197, 10.6617]], "species": ["Br", "Cs", "Br", "Br", "Cd", "Br", "Br", "Br", "Cd", "Br", "Bi", "Br"], "frac_coords": [[0.7872, 0.2740, 0.8007], [0.0000, 0.0000, 0.5000], [0.2128, 0.7260, 0.1993], [0.6704, 0.7028, 0.4296], [0.6240, 0.6286, 0.2090], [0.2479, 0.2463, 0.0134], [0.7521, 0.7537, 0.9866], [0.2744, 0.7797, 0.7970], [0.3760, 0.3714, 0.7910], [0.7256, 0.2203, 0.2030], [0.0000, 0.0000, 0.0000], [0.3296, 0.2972, 0.5704]]}

=====

{"formula": "Hf2CdBiBr", "functional": "PBE", "state": "relaxed", "final_energy_ev_per_fu": -20.54, "formation_energy_uncorrected_ev_per_atom": 1.17, "spacegroup": "No. 123", "lattice": [[5.5565, 0.0000, 0.0000], [0.0000, 5.7785, 0.0000], [0.0000, 0.0000, 5.5565]], "species": ["Cd", "Hf", "Bi", "Hf", "Br"], "frac_coords": [[0.0000, 0.5000, 0.0000], [0.0000, 0.0000, 0.5000], [0.0000, 0.0000, 0.0000], [0.5000, 0.0000, 0.0000], [0.5000, 0.5000, 0.5000]]}

=====

{"formula": "CdBiI2Br", "functional": "PBE", "state": "relaxed", "final_energy_ev_per_fu": -9.69, "formation_energy_uncorrected_ev_per_atom": -0.02, "spacegroup": "No. 123", "lattice": [[-3.3603, 4.6255, -1.7341], [-3.2793, -3.3474, -2.5743], [-3.3128, -0.5543, 4.9409]], "species": ["Bi", "Br", "I", "Cd", "I"], "frac_coords": [[0.5000, 0.5000, 0.5000], [0.0000, 0.5000, 0.0000], [0.5000, 0.0000, 0.0000], [0.0000, 0.0000, 0.0000], [0.0000, 0.0000, 0.5000]]}

=====

{"formula": "Cd2BiIrBr", "functional": "PBE", "state": "relaxed", "final_energy_ev_per_fu": -16.44, "formation_energy_uncorrected_ev_per_atom": -0.04, "spacegroup": "No. 123", "lattice": [[-5.1410, 1.5075, -0.3421], [-0.4323, -0.3351, 5.0206], [1.4759, 5.1401, 0.4701]], "species": ["Cd", "Cd", "Bi", "Br", "Ir"], "frac_coords": [[0.0000, 0.0000, 0.5000], [0.5000, 0.0000, 0.0000], [0.0000, 0.5000, 0.0000], [0.5000, 0.5000, 0.5000], [0.0000, 0.0000, 0.0000]]}

=====

{"formula": "CdBiIrBr2", "functional": "PBE", "state": "relaxed", "final_energy_ev_per_fu": -11.84, "formation_energy_uncorrected_ev_per_atom": 1.03, "spacegroup": "No. 123", "lattice": [[5.0675, 0.0000, 0.0000], [0.0000, 6.5410, 0.0000], [0.0000, 0.0000, 5.0675]], "species": ["Bi", "Ir", "Cd", "Br", "Br"], "frac_coords": [[0.0000, 0.5000, 0.0000], [0.5000, 0.5000, 0.5000], [0.0000, 0.0000, 0.0000], [0.5000, 0.0000, 0.0000], [0.0000, 0.0000, 0.5000]]}

=====

{"formula": "KCdBiBr6", "functional": "PBE", "state": "relaxed", "final_energy_ev_per_fu": -25.08, "formation_energy_uncorrected_ev_per_atom": -1.02, "spacegroup": "No. 163", "lattice": [[-1.9217, 2.2381, -6.7681], [1.3655, -7.1423, 1.2774], [-14.0187, -2.0920, 3.2886]], "species": ["Bi", "Cd", "Br", "K", "Bi", "Br", "Br", "Br", "Br", "Cd", "Br", "Br", "Br", "Br", "Br", "K", "Br", "Br"], "frac_coords": [[0.6667, 0.3333, 0.7500], [0.6667, 0.3333, 0.2500], [0.6337, 0.0073, 0.3631], [0.0000, 0.0000, 0.0000], [0.3333, 0.6667, 0.2500], [0.0073, 0.6337, 0.8631], [0.0073, 0.3736, 0.6369], [0.3736, 0.3663, 0.3631], [0.6337, 0.6264, 0.1369], [0.3333, 0.6667, 0.7500], [0.3736, 0.0073, 0.1369], [0.6264, 0.9927, 0.8631], [0.6264, 0.6337, 0.6369], [0.9927, 0.6264, 0.3631], [0.9927, 0.3663, 0.1369], [0.0000, 0.0000, 0.5000], [0.3663, 0.3736, 0.8631], [0.3663, 0.9927, 0.6369]]}

=====

{"formula": "NaCdBiBr6", "functional": "PBE", "state": "relaxed", "final_energy_ev_per_fu": -24.70, "formation_energy_uncorrected_ev_per_atom": -0.95, "spacegroup": "No. 163", "lattice": [[7.2421, 0.0000, 0.0000], [-3.6210, 6.2718, 0.0000], [0.0000, 0.0000, 13.4786]], "species": ["Br", "Bi", "Br", "Br", "Br", "Cd", "Cd", "Br", "Br", "Na", "Br", "Br", "Bi", "Br", "Na", "Br", "Br", "Br"], "frac_coords": [[0.6498, 0.6424, 0.1290], [0.3333, 0.6667, 0.2500], [0.0074, 0.3576, 0.6290], [0.0074, 0.6498, 0.8710], [0.6424, 0.9926, 0.8710], [0.6667, 0.3333, 0.2500], [0.3333, 0.6667, 0.7500], [0.9926, 0.6424, 0.3710], [0.3502, 0.3576, 0.8710], [0.0000, 0.0000, 0.0000], [0.6498, 0.0074, 0.3710], [0.3576, 0.3502, 0.3710], [0.6667, 0.3333, 0.7500], [0.6424, 0.6498, 0.6290], [0.0000, 0.0000, 0.5000], [0.9926, 0.3502, 0.1290], [0.3576, 0.0074, 0.1290], [0.3502, 0.9926, 0.6290]]}

=====

{"formula": "Na2CdBiBr6", "functional": "PBE", "state": "relaxed", "final_energy_ev_per_fu": -27.22, "formation_energy_uncorrected_ev_per_atom": -0.98, "spacegroup": "No. 1", "lattice": [[7.4637, 0.0120, 0.0038], [3.7422, 6.4731, -0.0074], [3.7382, 2.1521, 6.9008]], "species": ["Br", "Br", "Br", "Cd", "Br", "Br", "Na", "Br", "Bi", "Na"], "frac_coords": [[0.7142, 0.1006, 0.7565], [0.4338, 0.7110, 0.7566], [0.1013, 0.4294, 0.7561], [0.8204, 0.8205, 0.5387], [0.5925, 0.2098, 0.2577], [0.2052, 0.9407, 0.2603], [0.0142, 0.0123, 0.9614], [0.9380, 0.5946, 0.2559], [0.3246, 0.3242, 0.0263], [0.5173, 0.5185, 0.4457]]}